Here is DyAlCl6 after structural relaxation from the Alexandria database. Energies are from PBE.

Calculated values
DOS at the Fermi energy = 0.000 states/eV/atom
ΔE_f (raw) = -1.823 eV per atom
Calculated density = 2.81 Mg/m³
Calculated volume = 237.7 Å³/cell

```
DyAlCl6
1.0
3.119 -6.387 0.000
3.119 6.387 0.000
-1.777 0.000 5.966
Dy Al Cl
1 1 6
Cartesian
0.000 0.000 0.000
2.230 0.000 2.983
1.253 1.670 1.662
0.322 0.000 4.396
1.253 -1.670 1.662
3.208 1.670 4.304
4.139 0.000 1.570
3.208 -1.670 4.304
```